Compound: BaZr2Te
Source: Alexandria
Functional: PBE
Structure: optimized geometry

```
BaZr2Te
1.0
-2.9155 1.5073 -3.4305
2.6440 -2.2512 -3.2376
-2.6494 -3.8910 0.5419
Zr Te Ba
2 1 1
Direct
0.0000 0.0000 0.0000
0.5000 0.5000 0.0000
0.0000 0.5000 0.5000
0.5000 0.0000 0.5000
```

Compound: BaZr2Te
Source: Alexandria
Functional: PBE
Structure: optimized geometry

```
BaZr2Te
1.0
-0.0028 -3.7879 -1.1864
4.1579 -1.0231 3.2567
-3.2682 -1.1876 3.7995
Ba Te Zr
1 1 2
Direct
0.5000 0.0000 0.5000
0.0000 0.5000 0.5000
0.0000 0.0000 0.0000
0.5000 0.5000 0.0000
```

Compound: BaZr2Te2
Source: Alexandria
Functional: PBE
Structure: optimized geometry

```
BaZr2Te2
1.0
-2.1845 2.6989 -2.5515
-2.5912 -3.2282 -1.1961
-7.3595 1.4693 4.2170
Zr Ba Te
2 1 2
Direct
0.7500 0.2500 0.5000
0.2500 0.7500 0.5000
0.0000 0.0000 0.0000
0.6201 0.6201 0.7598
0.3799 0.3799 0.2402
```

no.,formation energy from raw total energies (meV/atom),Fermi-level density of states (states/eV/cell)
1,122,5.58
2,122,5.70
3,-903,2.71